Record 1
Below is crystalline CsYIr2 at its relaxed geometry, with properties calculated at the PBE level.

Results
Energy relative to the elements: 3.016 eV/f.u.

Lattice parameters (Å, degrees): 5.0638 5.0638 5.0638 60.00 60.00 60.00
Positions (direct):
Ir1 0.7500 0.7500 0.7500
Ir2 0.2500 0.2500 0.2500
Cs1 0.5000 0.5000 0.5000
Y1 0.0000 0.0000 0.0000

=====

Record 2
Below is crystalline MnSiSnIrS at its relaxed geometry, with properties calculated at the PBE level.

Results
Raw formation energy: -0.246 eV per atom

Lattice parameters (Å, degrees): 3.5941 2.9794 15.4018 90.00 90.00 90.00
Site moments in Bohr magnetons follow the coordinates.
Positions (direct):
S1 0.0000 0.0000 0.8244  -0.02
S2 0.0000 0.5000 0.3244  -0.02
Mn1 0.0000 0.5000 0.9296  1.38
Mn2 0.0000 0.0000 0.4296  1.38
Si1 0.5000 0.0000 0.9810  -0.06
Si2 0.5000 0.5000 0.4810  -0.06
Ir1 0.0000 0.5000 0.5852  -0.04
Ir2 0.0000 0.0000 0.0852  -0.04
Sn1 0.5000 0.5000 0.1853  -0.03
Sn2 0.5000 0.0000 0.6853  -0.03

=====

Record 3
Below is crystalline SrPrSm2Se4 at its relaxed geometry, with properties calculated at the PBE level.

Results
Raw formation energy: -1.864 eV per atom

Lattice parameters (Å, degrees): 4.2243 7.3750 7.3837 70.95 90.00 90.00
Positions (direct):
Se1 0.5000 0.7602 0.2453
Se2 0.0000 0.7584 0.7477
Se3 0.0000 0.2416 0.2523
Se4 0.5000 0.2398 0.7547
Sr1 0.0000 0.5000 0.5000
Pr1 0.5000 0.5000 0.0000
Sm1 0.0000 0.0000 0.0000
Sm2 0.5000 0.0000 0.5000

=====

Record 4
Below is crystalline Ba3Cu4Rh4 at its relaxed geometry, with properties calculated at the PBE level.

Results
Energy relative to the elements: 0.136 eV/f.u.

Lattice parameters (Å, degrees): 6.8410 6.8410 6.8410 109.47 109.47 109.47
Positions (direct):
Cu1 0.6065 0.0000 0.0000
Cu2 0.0000 0.0000 0.6065
Cu3 0.3935 0.3935 0.3935
Cu4 0.0000 0.6065 0.0000
Ba1 0.5000 0.5000 0.0000
Ba2 0.0000 0.5000 0.5000
Ba3 0.5000 0.0000 0.5000
Rh1 0.2411 0.0000 0.0000
Rh2 0.7589 0.7589 0.7589
Rh3 0.0000 0.2411 0.0000
Rh4 0.0000 0.0000 0.2411

=====

Record 5
Below is crystalline Nd3Lu at its relaxed geometry, with properties calculated at the PBE level.

Results
Energy relative to the elements: 0.119 eV/f.u.

Lattice parameters (Å, degrees): 3.6843 6.3102 6.8978 117.22 105.49 90.00
Positions (direct):
Nd1 0.7461 0.0805 0.4922
Nd2 0.5000 0.4975 0.0000
Nd3 0.2539 0.5884 0.5078
Lu1 0.0000 0.0003 0.0000